No. 1
Entry from the Alexandria database: an optimized crystal structure of PAuCl4 (PBE-GGA).

Geometry as POSCAR:
```
PAuCl4
1.0
15.3369 0.0000 0.0000
0.0000 6.5560 -0.0428
0.0000 0.6895 7.6625
Au Cl P
4 16 4
Direct
0.7345 0.0095 0.5386
0.2345 0.4905 0.4614
0.7655 0.5095 0.5386
0.2655 0.9905 0.4614
0.6588 0.5165 0.3280
0.0777 0.7743 0.1889
0.5777 0.7257 0.8111
0.9223 0.2257 0.8111
0.4223 0.2743 0.1889
0.6742 0.0907 0.9765
0.3258 0.9093 0.0235
0.1742 0.4093 0.0235
0.4732 0.8177 0.3081
0.5268 0.1823 0.6919
0.8258 0.5907 0.9765
0.9732 0.6823 0.6919
0.3412 0.4835 0.6720
0.8412 0.0165 0.3280
0.1588 0.9835 0.6720
0.0268 0.3177 0.3081
0.6321 0.0026 0.7456
0.8679 0.5026 0.7456
0.3679 0.9974 0.2544
0.1321 0.4974 0.2544
```

Properties
- Excess energy over the best structure of this formula in the dataset: 0 meV per atom

---

No. 2
Entry from the Alexandria database: an optimized crystal structure of PAuCl2 (PBE-GGA).

Geometry as POSCAR:
```
PAuCl2
1.0
10.0301 0.0524 0.0308
9.5388 3.1011 0.0308
9.5388 1.5372 2.6935
P Cl Au
1 2 1
Direct
0.2500 0.2500 0.2500
0.9808 0.9808 0.9808
0.5192 0.5192 0.5192
0.7500 0.7500 0.7500
```

Properties
- Excess energy over the best structure of this formula in the dataset: 827 meV per atom

---

No. 3
Entry from the Alexandria database: an optimized crystal structure of PAuCl2 (PBE-GGA).

Geometry as POSCAR:
```
PAuCl2
1.0
-1.1118 -2.5569 -3.7404
2.1972 -3.0884 -2.7201
-2.1764 -6.4045 3.7217
P Cl Au
1 2 1
Direct
0.6218 0.6218 0.4470
0.9029 0.9029 0.0892
0.7111 0.7111 0.6793
0.2642 0.2642 0.2844
```

Properties
- Excess energy over the best structure of this formula in the dataset: 0 meV per atom

---

No. 4
Entry from the Alexandria database: an optimized crystal structure of PAu4Cl (PBE-GGA).

Geometry as POSCAR:
```
PAu4Cl
1.0
4.5672 0.2360 3.1556
-0.4440 0.8759 5.4688
1.1244 -4.1053 3.5714
P Au Cl
1 4 1
Direct
0.0000 0.0000 0.0000
0.8753 0.3749 0.3749
0.3749 0.8753 0.3749
0.3749 0.3749 0.8753
0.3749 0.3749 0.3749
0.7500 0.7500 0.7500
```

---

No. 5
Entry from the Alexandria database: an optimized crystal structure of PAu2Cl (PBE-GGA).

Geometry as POSCAR:
```
PAu2Cl
1.0
-3.1811 -3.7756 -3.2519
-4.4924 -3.2740 2.0121
2.0982 5.5269 -0.0039
Au Cl P
2 1 1
Direct
0.5000 0.5000 0.0000
0.0000 0.0000 0.0000
0.2500 0.7500 0.5000
0.7500 0.2500 0.5000
```

Properties
- Excess energy over the best structure of this formula in the dataset: 636 meV per atom

---

No. 6
Entry from the Alexandria database: an optimized crystal structure of PAuCl2 (PBE-GGA).

Geometry as POSCAR:
```
PAuCl2
1.0
3.5687 -4.8870 -1.1854
-1.8663 -2.8559 5.1366
-1.2925 1.8551 -5.7369
Cl Au P
2 1 1
Direct
0.3201 0.8201 0.5000
0.9265 0.9265 0.0000
0.7192 0.2192 0.5000
0.5341 0.5341 0.0000
```

Properties
- Excess energy over the best structure of this formula in the dataset: 434 meV per atom

---

No. 7
Entry from the Alexandria database: an optimized crystal structure of PAu2Cl (PBE-GGA).

Geometry as POSCAR:
```
PAu2Cl
1.0
3.2030 0.0000 0.0000
0.0000 3.2155 0.0000
0.0000 0.0000 7.2705
Au Cl P
2 1 1
Direct
0.0000 0.0000 0.5398
0.0000 0.0000 0.9602
0.5000 0.5000 0.2500
0.5000 0.5000 0.7500
```

Properties
- Excess energy over the best structure of this formula in the dataset: 362 meV per atom

---

No. 8
Entry from the Alexandria database: an optimized crystal structure of PAu2Cl (PBE-GGA).

Geometry as POSCAR:
```
PAu2Cl
1.0
-0.8843 -5.1134 -3.4033
3.5469 2.3821 -4.5007
5.4842 -3.5075 -1.8128
Au P Cl
4 2 2
Direct
0.1835 0.6250 0.2500
0.3750 0.4335 0.7500
0.5665 0.1250 0.2500
0.8750 0.8165 0.7500
0.5000 0.5000 0.0000
0.2500 0.7500 0.5000
0.0000 0.0000 0.0000
0.7500 0.2500 0.5000
```

Properties
- Excess energy over the best structure of this formula in the dataset: 71 meV per atom

---

No. 9
Entry from the Alexandria database: an optimized crystal structure of P3AuCl12 (PBE-GGA).

Geometry as POSCAR:
```
P3AuCl12
1.0
-4.4529 -2.7228 -12.7464
-12.1009 -5.6697 -3.3370
-10.4000 6.2849 -6.4849
Cl Au P
24 2 6
Direct
0.0074 0.1658 0.3769
0.4541 0.3282 0.7982
0.2357 0.8939 0.7284
0.1658 0.3769 0.0074
0.5074 0.8769 0.6658
0.7733 0.0673 0.7231
0.3282 0.7982 0.4541
0.5673 0.2733 0.2231
0.6658 0.5074 0.8769
0.2231 0.5673 0.2733
0.0673 0.7231 0.7733
0.8282 0.9541 0.2982
0.7284 0.2357 0.8939
0.7357 0.2284 0.3939
0.8769 0.6658 0.5074
0.2284 0.3939 0.7357
0.3769 0.0074 0.1658
0.7231 0.7733 0.0673
0.7982 0.4541 0.3282
0.2982 0.8282 0.9541
0.3939 0.7357 0.2284
0.9541 0.2982 0.8282
0.8939 0.7284 0.2357
0.2733 0.2231 0.5673
0.8541 0.8541 0.8541
0.3541 0.3541 0.3541
0.7654 0.3126 0.9533
0.9533 0.7654 0.3126
0.8126 0.2654 0.4533
0.4533 0.8126 0.2654
0.3126 0.9533 0.7654
0.2654 0.4533 0.8126
```

---

No. 10
Entry from the Alexandria database: an optimized crystal structure of PAuCl2 (PBE-GGA).

Geometry as POSCAR:
```
PAuCl2
1.0
-2.9885 -1.0560 -0.3159
2.2999 -1.8349 1.2205
-2.2759 3.5577 9.6370
Au P Cl
1 1 2
Direct
0.5000 0.5000 0.7500
0.5000 0.5000 0.2500
0.0000 0.0000 0.4224
0.0000 0.0000 0.0776
```

Properties
- Excess energy over the best structure of this formula in the dataset: 651 meV per atom

---

No. 11
Entry from the Alexandria database: an optimized crystal structure of PAu2Cl (PBE-GGA).

Geometry as POSCAR:
```
PAu2Cl
1.0
-1.5175 -1.6775 -1.8697
-0.3349 -3.5373 3.4455
-4.3357 2.0482 1.6813
Cl P Au
1 1 2
Direct
0.5000 0.0000 0.5000
0.0000 0.5000 0.5000
0.0000 0.0000 0.0000
0.5000 0.5000 0.0000
```

Properties
- Excess energy over the best structure of this formula in the dataset: 539 meV per atom

---

No. 12
Entry from the Alexandria database: an optimized crystal structure of PAuCl2 (PBE-GGA).

Geometry as POSCAR:
```
PAuCl2
1.0
-3.2488 0.8987 0.8397
0.4652 -3.3008 5.3324
2.1911 3.6268 4.5956
Cl P Au
2 1 1
Direct
0.0000 0.0818 0.7064
0.5000 0.5373 0.2451
0.0000 0.4224 0.6485
0.5000 0.4585 0.9000
```

Properties
- Excess energy over the best structure of this formula in the dataset: 134 meV per atom

---

No. 13
Entry from the Alexandria database: an optimized crystal structure of PAuCl (PBE-GGA).

Geometry as POSCAR:
```
PAuCl
1.0
-4.1522 -1.4776 0.9244
-1.8590 -3.2242 -2.5353
-0.5954 -4.1310 1.6908
Au Cl P
1 1 1
Direct
0.7500 0.7500 0.7500
0.0000 0.0000 0.0000
0.5000 0.5000 0.5000
```

Properties
- Excess energy over the best structure of this formula in the dataset: 789 meV per atom

---

No. 14
Entry from the Alexandria database: an optimized crystal structure of PAu2Cl (PBE-GGA).

Geometry as POSCAR:
```
PAu2Cl
1.0
-1.3468 3.4642 6.3092
-4.9178 0.2765 5.4184
4.6138 -3.3357 -4.6050
Cl P Au
1 1 2
Direct
0.4448 0.4448 0.0000
0.2059 0.7059 0.5000
0.0708 0.0708 0.0000
0.7784 0.2784 0.5000
```

Properties
- Excess energy over the best structure of this formula in the dataset: 181 meV per atom

---

No. 15
Entry from the Alexandria database: an optimized crystal structure of PAuCl2 (PBE-GGA).

Geometry as POSCAR:
```
PAuCl2
1.0
1.8750 0.0000 8.9167
-0.9375 1.6238 8.9167
-0.9375 -1.6238 8.9167
Cl P Au
2 1 1
Direct
0.0887 0.0887 0.0887
0.9113 0.9113 0.9113
0.5000 0.5000 0.5000
0.0000 0.0000 0.0000
```

Properties
- Excess energy over the best structure of this formula in the dataset: 735 meV per atom

---

No. 16
Entry from the Alexandria database: an optimized crystal structure of PAuCl2 (PBE-GGA).

Geometry as POSCAR:
```
PAuCl2
1.0
-3.0855 0.8334 -0.1550
0.0396 -0.4032 -2.9570
-2.7661 -9.5841 3.5293
Au Cl P
1 2 1
Direct
0.5000 0.7500 0.7500
0.0000 0.1238 0.0815
0.0000 0.3762 0.4185
0.5000 0.2500 0.2500
```

Properties
- Excess energy over the best structure of this formula in the dataset: 546 meV per atom

---

No. 17
Entry from the Alexandria database: an optimized crystal structure of PAuCl2 (PBE-GGA).

Geometry as POSCAR:
```
PAuCl2
1.0
0.0000 3.3842 3.3842
3.3842 0.0000 3.3842
3.3842 3.3842 0.0000
Cl P Au
2 1 1
Direct
0.7500 0.7500 0.7500
0.2500 0.2500 0.2500
0.0000 0.0000 0.0000
0.5000 0.5000 0.5000
```

Properties
- Excess energy over the best structure of this formula in the dataset: 1102 meV per atom

---

No. 18
Entry from the Alexandria database: an optimized crystal structure of PAuCl2 (PBE-GGA).

Geometry as POSCAR:
```
PAuCl2
1.0
2.9905 0.0000 0.0000
0.0000 2.9905 0.0000
0.0000 0.0000 10.1616
P Au Cl
1 1 2
Direct
0.5000 0.5000 0.2500
0.5000 0.5000 0.7500
0.0000 0.0000 0.0908
0.0000 0.0000 0.4092
```

Properties
- Excess energy over the best structure of this formula in the dataset: 927 meV per atom

---

No. 19
Entry from the Alexandria database: an optimized crystal structure of PAuCl4 (PBE-GGA).

Geometry as POSCAR:
```
PAuCl4
1.0
-1.3048 2.3209 5.0972
-3.6406 -2.6981 3.5406
1.9535 -2.4107 4.8417
P Cl Au
1 4 1
Direct
0.7500 0.7500 0.7500
0.3744 0.8769 0.3744
0.8769 0.3744 0.3744
0.3744 0.3744 0.8769
0.3744 0.3744 0.3744
0.0000 0.0000 0.0000
```

Properties
- Excess energy over the best structure of this formula in the dataset: 1762 meV per atom

---

No. 20
Entry from the Alexandria database: an optimized crystal structure of PAu3Cl (PBE-GGA).

Geometry as POSCAR:
```
PAu3Cl
1.0
-3.8235 -2.4804 -1.4890
2.8361 -3.7006 -1.1181
-0.5709 -1.7725 4.4183
Au Cl P
3 1 1
Direct
0.0000 0.5000 0.0000
0.5000 0.0000 0.0000
0.0000 0.0000 0.5000
0.5000 0.5000 0.5000
0.0000 0.0000 0.0000
```

Properties
- Excess energy over the best structure of this formula in the dataset: 0 meV per atom

---

Number 1: E_tot -19.64 eV per formula unit, formation energy from raw total energies -13.7 kcal/mol of atoms. Number 2: E_tot -10.40 eV per formula unit, formation energy from raw total energies 11.4 kcal/mol of atoms. Number 3: E_tot -13.70 eV per formula unit, formation energy from raw total energies -7.6 kcal/mol of atoms. Number 4: E_tot -17.21 eV per formula unit, formation energy from raw total energies 12.1 kcal/mol of atoms. Number 5: E_tot -11.34 eV per formula unit, formation energy from raw total energies 14.2 kcal/mol of atoms. Number 6: E_tot -11.97 eV per formula unit, formation energy from raw total energies 2.4 kcal/mol of atoms. Number 7: E_tot -12.44 eV per formula unit, formation energy from raw total energies 7.9 kcal/mol of atoms. Number 8: E_tot -13.60 eV per formula unit, formation energy from raw total energies 1.2 kcal/mol of atoms. Number 9: E_tot -49.72 eV per formula unit, formation energy from raw total energies -11.6 kcal/mol of atoms. Number 10: E_tot -11.10 eV per formula unit, formation energy from raw total energies 7.4 kcal/mol of atoms. Number 11: E_tot -11.73 eV per formula unit, formation energy from raw total energies 12.0 kcal/mol of atoms. Number 12: E_tot -13.17 eV per formula unit, formation energy from raw total energies -4.5 kcal/mol of atoms. Number 13: E_tot -8.46 eV per formula unit, formation energy from raw total energies 15.9 kcal/mol of atoms. Number 14: E_tot -13.16 eV per formula unit, formation energy from raw total energies 3.8 kcal/mol of atoms. Number 15: E_tot -10.76 eV per formula unit, formation energy from raw total energies 9.3 kcal/mol of atoms. Number 16: E_tot -11.52 eV per formula unit, formation energy from raw total energies 5.0 kcal/mol of atoms. Number 17: E_tot -9.30 eV per formula unit, formation energy from raw total energies 17.8 kcal/mol of atoms. Number 18: E_tot -9.99 eV per formula unit, formation energy from raw total energies 13.8 kcal/mol of atoms. Number 19: E_tot -9.07 eV per formula unit, formation energy from raw total energies 26.9 kcal/mol of atoms. Number 20: E_tot -15.84 eV per formula unit, formation energy from raw total energies 5.8 kcal/mol of atoms.